BaMgInHg2 | PBE | optimized geometry

Values from the calculation:
E (eV per atom): -1.76

Cell: 4.756 4.756 12.922 Å, 90.00 90.00 90.00°
Space group I-4m2 (No. 119)
One atom of each set of equivalent atoms:
Ba  0.000  0.000  0.000 [2 per cell]
Mg  0.000  0.500  0.750 [2 per cell]
In  0.000  0.500  0.250 [2 per cell]
Hg  0.000  0.000  0.384 [4 per cell]



BaMgIn4Hg2 | PBE | optimized geometry

Values from the calculation:
E (eV per atom): -2.08

Cell: 5.0995 5.0995 31.0089 Å, 90.00 90.00 120.00°
Space group R-3m (No. 166, hexagonal axes)
One atom of each set of equivalent atoms:
Ba  0.0000  0.0000  0.0000 [3 per cell]
Mg  0.0000  0.0000  0.5000 [3 per cell]
In  0.0000  0.0000  0.1336 [6 per cell]
In  0.0000  0.0000  0.4042 [6 per cell]
Hg  0.0000  0.0000  0.2609 [6 per cell]



BaMg4In2Hg | PBE | optimized geometry

Values from the calculation:
E (eV per atom): -1.95

Cell: 5.0474 5.0474 29.5120 Å, 90.00 90.00 120.00°
Space group R-3m (No. 166, hexagonal axes)
One atom of each set of equivalent atoms:
Ba  0.0000  0.0000  0.0000 [3 per cell]
Mg  0.0000  0.0000  0.1333 [6 per cell]
Mg  0.0000  0.0000  0.4055 [6 per cell]
In  0.0000  0.0000  0.2509 [6 per cell]
Hg  0.0000  0.0000  0.5000 [3 per cell]



BaMg2InHg2 | PBE | optimized geometry

Values from the calculation:
E (eV per atom): -1.73

Cell: 5.0022 5.0022 7.8530 Å, 90.00 90.00 120.00°
Space group P-3m1 (No. 164)
One atom of each set of equivalent atoms:
Ba  0.0000  0.0000  0.0000 [1 per cell]
Mg  0.3333  0.6667  0.6507 [2 per cell]
In  0.0000  0.0000  0.5000 [1 per cell]
Hg  0.3333  0.6667  0.2547 [2 per cell]



Ba2Mg6InHg | PBE | optimized geometry

Values from the calculation:
E (eV per atom): -1.72

Cell: 7.386 10.550 8.119 Å, 90.00 90.00 90.00°
Space group Pmmn (No. 59, origin choice 2)
One atom of each set of equivalent atoms:
Ba  0.250  0.055  0.196 [4 per cell]
Mg  0.045  0.750  0.474 [4 per cell]
Mg  0.055  0.750  0.091 [4 per cell]
Mg  0.250  0.000  0.638 [4 per cell]
In  0.250  0.750  0.792 [2 per cell]
Hg  0.250  0.250  0.740 [2 per cell]



BaMgIn2Hg4 | PBE | optimized geometry

Values from the calculation:
E (eV per atom): -1.54

Cell: 5.0544 5.0544 29.9994 Å, 90.00 90.00 120.00°
Space group R-3m (No. 166, hexagonal axes)
One atom of each set of equivalent atoms:
Ba  0.0000  0.0000  0.0000 [3 per cell]
Mg  0.0000  0.0000  0.5000 [3 per cell]
In  0.0000  0.0000  0.2408 [6 per cell]
Hg  0.0000  0.0000  0.1321 [6 per cell]
Hg  0.0000  0.0000  0.3967 [6 per cell]



The following formation enthalpy at 0 K values (in eV per formula unit) correspond, in order, to the records above: -2.0; -1.5; -1.5; -1.9; -0.7; -2.1.
The following total magnetic moment values (in μB/f.u.) correspond, in order, to the records above: 0.000; 0.000; 0.000; 0.000; 0.000; 0.000.